DFT (PBE) results for TePtSe2 after structural relaxation.

a = 3.6224 Å, b = 4.7712 Å, c = 10.4462 Å
α = 90.00°, β = 90.00°, γ = 90.00°
With the nearest neighbours (Å) after each atom.
Fractional positions:
Te 0.0000 0.0000 0.0000  2 Pt 2.83, 4 Te 3.00
Te 0.5000 0.5000 0.0000  2 Pt 2.83, 4 Te 3.00
Pt 0.0000 0.5000 0.2077  2 Se 2.64, 2 Te 2.83
Pt 0.5000 0.0000 0.2077  2 Se 2.64, 2 Te 2.83
Se 0.0000 0.0000 0.3915  2 Pt 2.64
Se 0.0000 0.5000 0.7054  4 Se 3.00
Se 0.5000 0.0000 0.7054  4 Se 3.00
Se 0.5000 0.5000 0.3915  2 Pt 2.64

## Properties
- final energy (eV per atom) = -3.74
- crystal system = orthorhombic
- E_form (uncorrected) (eV/atom) = 0.299